# 1
6
Lattice="-4.420 -3.499 1.940 -0.005 -2.885 -5.217 5.653 -0.136 3.476" Properties=species:S:1:pos:R:3 comment="PBE-GGA LiFeCl4, relaxed" crystal_system=tetragonal total_magnetization_mub_per_fu=5.0 energy_ry_per_atom=-0.3004 pbc="T T T"
Cl 3.612 -1.126 2.011
Cl 1.589 -3.904 0.766
Cl -2.274 -4.060 0.398
Cl -0.471 -3.949 -2.779
Li -0.489 -3.413 1.888
Fe -2.212 -3.192 -1.639

# 2
12
Lattice="4.953 0.000 0.000 2.476 4.289 0.000 2.476 1.430 7.243" Properties=species:S:1:pos:R:3 comment="PBE-GGA DySnP2O8, relaxed" crystal_system=trigonal total_magnetization_mub_per_fu=0.0 energy_ry_per_atom=-0.5245 pbc="T T T"
P 7.429 4.289 5.352
P 2.476 1.430 1.891
O 5.961 4.225 5.845
O 3.265 3.050 5.845
O 3.944 1.494 1.398
O 5.631 1.303 5.845
O 6.640 2.669 1.398
O 4.274 4.416 1.398
O 7.429 4.289 3.794
O 2.476 1.430 3.449
Sn 4.953 2.859 3.622
Dy 0.000 0.000 0.000

# 3
5
Lattice="5.318 0.000 0.000 0.000 5.508 0.000 0.000 0.000 5.318" Properties=species:S:1:pos:R:3 comment="PBE-GGA HgPdWI2, relaxed" crystal_system=tetragonal total_magnetization_mub_per_fu=0.6 energy_ry_per_atom=-0.2381 pbc="T T T"
Hg 0.000 2.754 0.000
W 0.000 0.000 0.000
I 2.659 0.000 0.000
I 0.000 0.000 2.659
Pd 2.659 2.754 2.659

# 4
5
Lattice="-2.181 -3.918 -1.465 2.760 -0.107 -3.824 3.143 -2.625 2.342" Properties=species:S:1:pos:R:3 comment="PBE-GGA YTlV3, relaxed" de_polymorph_ev_per_atom=0.519 ef_ev_per_atom=1.916 crystal_system=cubic total_magnetization_mub_per_fu=0.5 energy_ry_per_atom=-0.3911 pbc="T T T"
Tl 1.861 -3.324 -1.473
V 1.380 -0.053 -1.912
V -1.090 -1.959 -0.732
V 1.571 -1.312 1.171
Y 0.000 0.000 0.000

# 5
9
Lattice="-2.565 -3.510 -1.210 3.163 -2.836 1.523 -5.836 3.223 11.431" Properties=species:S:1:pos:R:3 comment="PBE-GGA PmEr2Hg6, relaxed" de_polymorph_ev_per_atom=0.232 ef_ev_per_atom=-0.160 crystal_system=tetragonal total_magnetization_mub_per_fu=0.0 energy_ry_per_atom=-0.1399 pbc="T T T"
Hg -1.187 -1.393 6.556
Hg -2.249 -1.746 1.418
Hg -4.051 -1.730 5.189
Hg -2.988 -1.376 10.326
Hg 0.615 -1.409 2.785
Hg -5.852 -1.714 8.959
Er -1.568 -3.156 4.063
Er -3.670 0.033 7.681
Pm 0.000 0.000 0.000

# 6
8
Lattice="-2.811 -2.279 -3.469 3.437 -3.609 -0.414 -1.178 -8.824 6.752" Properties=species:S:1:pos:R:3 comment="PBE-GGA CeSmDy4Tm2, relaxed" ef_ev_per_atom=0.047 crystal_system=orthorhombic total_magnetization_mub_per_fu=1.0 energy_ry_per_atom=-0.3457 pbc="T T T"
Sm -0.865 -11.768 4.810
Ce 1.130 -6.216 3.169
Tm -1.994 -5.552 1.641
Tm -1.178 -8.824 6.752
Dy 1.703 -9.315 4.740
Dy 0.866 -6.064 -0.339
Dy -1.417 -8.648 3.208
Dy -2.255 -5.398 -1.871

# 7
10
Lattice="3.584 0.000 0.000 0.000 6.861 -0.570 0.000 -3.612 7.674" Properties=species:S:1:pos:R:3 comment="PBE-GGA Pa2ZnCoC, relaxed" ef_ev_per_atom=-0.170 crystal_system=monoclinic total_magnetization_mub_per_fu=0.0 energy_ry_per_atom=-0.5505 pbc="T T T"
Pa 2.688 5.298 -0.375
Pa 2.688 3.088 4.168
Pa 0.896 -2.049 7.478
Pa 0.896 0.161 2.935
Zn 2.688 -0.818 5.319
Zn 0.896 4.067 1.784
C 2.688 0.488 1.284
C 0.896 2.761 5.819
Co 2.688 2.330 1.936
Co 0.896 0.918 5.167

# 8
10
Lattice="3.179 0.000 0.000 0.000 3.179 0.000 0.000 0.000 16.770" Properties=species:S:1:pos:R:3 comment="PBE-GGA Mg5TlRh4, relaxed" ef_ev_per_atom=-0.408 crystal_system=tetragonal total_magnetization_mub_per_fu=0.0 energy_ry_per_atom=-0.3221 pbc="T T T"
Rh 0.000 0.000 6.866
Rh 0.000 0.000 3.778
Rh 0.000 0.000 9.904
Rh 0.000 0.000 12.992
Tl 0.000 0.000 0.000
Mg 1.589 1.589 2.362
Mg 1.589 1.589 14.408
Mg 1.589 1.589 5.342
Mg 1.589 1.589 11.427
Mg 1.589 1.589 8.385